Record 1
A plane-wave DFT calculation with meta-GGA SCAN was carried out for a PBEsol-optimized structure of AgAu2.

Cell: 12.551 12.551 12.551 Å, 161.40 161.40 26.43°
Fractional coordinates of all 12 atoms:
1 Ag 0.291 0.541 0.750
2 Ag 0.459 0.709 0.750
3 Ag 0.541 0.291 0.250
4 Ag 0.709 0.459 0.250
5 Au 0.041 0.791 0.250
6 Au 0.125 0.375 0.750
7 Au 0.209 0.959 0.250
8 Au 0.375 0.125 0.250
9 Au 0.625 0.875 0.750
10 Au 0.791 0.041 0.750
11 Au 0.875 0.625 0.250
12 Au 0.959 0.209 0.750

Output
Relative energy among the computed polymorphs, meV per atom: 0
Energy of formation, eV per atom: -0.07
Symmetry: I4_1/amd (141)
DOS(E_F), states/eV/f.u.: 0.7

***

Record 2
A plane-wave DFT calculation with meta-GGA SCAN was carried out for a PBEsol-optimized structure of SrCa2.

Cell: 6.375 6.375 7.557 Å, 90.00 90.00 120.00°
Fractional coordinates of all 6 atoms:
1 Sr 0.333 0.667 0.250
2 Sr 0.667 0.333 0.750
3 Ca 0.000 0.000 0.000
4 Ca 0.000 0.000 0.500
5 Ca 0.333 0.667 0.750
6 Ca 0.667 0.333 0.250

Output
Relative energy among the computed polymorphs, meV per atom: 56
Energy of formation, eV per atom: 0.07
Symmetry: P6_3/mmc (194)
DOS(E_F), states/eV/f.u.: 3.8

***

Record 3
A plane-wave DFT calculation with meta-GGA SCAN was carried out for a PBEsol-optimized structure of IrRh2.

Cell: 2.683 2.683 6.572 Å, 90.00 90.00 120.00°
Fractional coordinates of all 3 atoms:
1 Ir 0.000 0.000 0.000
2 Rh 0.333 0.667 0.667
3 Rh 0.667 0.333 0.333

Output
Relative energy among the computed polymorphs, meV per atom: 11
Energy of formation, eV per atom: -0.02
Symmetry: P-3m1 (164)
DOS(E_F), states/eV/f.u.: 2.8

***

Record 4
A plane-wave DFT calculation with meta-GGA SCAN was carried out for a PBEsol-optimized structure of Mg2AsRh.

Cell: 3.126 3.126 7.347 Å, 90.00 90.00 90.00°
Fractional coordinates of all 4 atoms:
1 Mg 0.000 0.000 0.000
2 Mg 0.500 0.500 0.323
3 As 0.500 0.500 0.732
4 Rh 0.000 0.000 0.568

Output
Energy of formation, eV per atom: -0.38
Symmetry: P4mm (99)
DOS(E_F), states/eV/f.u.: 2.0

***

Record 5
A plane-wave DFT calculation with meta-GGA SCAN was carried out for a PBEsol-optimized structure of TcSeSN2.

Cell: 3.755 3.755 5.091 Å, 90.00 90.00 90.00°
Fractional coordinates of all 5 atoms:
1 Tc 0.000 0.000 0.000
2 Se 0.500 0.500 0.500
3 S 0.000 0.000 0.500
4 N 0.000 0.500 0.000
5 N 0.500 0.000 0.000

Output
ΔE_f (raw), eV per atom: 0.649
Symmetry: P4/mmm (123)
DOS(E_F), states/eV/f.u.: 1.2

***

Record 6
A plane-wave DFT calculation with meta-GGA SCAN was carried out for a PBEsol-optimized structure of SbWAu2.

Cell: 6.935 6.935 6.935 Å, 156.72 141.08 45.84°
Fractional coordinates of all 4 atoms:
1 Sb 0.000 0.000 0.000
2 W 0.198 0.698 0.500
3 Au 0.378 0.378 0.000
4 Au 0.659 0.159 0.500

Output
ΔE_f (raw), eV per atom: 0.434
Symmetry: Imm2 (44)
DOS(E_F), states/eV/f.u.: 2.3

***

Record 7
A plane-wave DFT calculation with meta-GGA SCAN was carried out for a PBEsol-optimized structure of TcTe2OsO.

Cell: 5.293 5.293 3.611 Å, 90.00 90.00 90.00°
Fractional coordinates of all 5 atoms:
1 Tc 0.000 0.000 0.000
2 Te 0.000 0.500 0.500
3 Te 0.500 0.000 0.500
4 Os 0.500 0.500 0.500
5 O 0.500 0.500 0.000

Output
ΔE_f (raw), eV per atom: 0.400
Symmetry: P4/mmm (123)
DOS(E_F), states/eV/f.u.: 3.5

***

Record 8
A plane-wave DFT calculation with meta-GGA SCAN was carried out for a PBEsol-optimized structure of Mn4ReMo.

Cell: 4.638 4.638 4.638 Å, 60.00 60.00 60.00°
Fractional coordinates of all 6 atoms:
1 Mn 0.125 0.125 0.125
2 Mn 0.125 0.125 0.624
3 Mn 0.125 0.624 0.125
4 Mn 0.624 0.125 0.125
5 Re 0.750 0.750 0.750
6 Mo 0.500 0.500 0.500

Output
Energy of formation, eV per atom: 0.00
Symmetry: F-43m (216)
DOS(E_F), states/eV/f.u.: 3.9